Material: CaPr3Cu
Method: DFT, PBE
State: optimized geometry

The space group is Pm-3m (No. 221) and the conventional cell measures 5.678, 5.678 and 5.678 Å, with angles of 90.00, 90.00 and 90.00 degrees. The inequivalent atoms are Ca at (0.000, 0.000, 0.000), Pr at (0.000, 0.500, 0.500) and Cu at (0.500, 0.500, 0.500).

For the volume, the calculation gives 36.6 Å³/atom. For the total energy, the calculation gives -3.942 eV/atom. As for the crystal system: cubic. The calculation puts the magnetic moment at 1.47 μB/cell.